MgZn3Se | GGA-PBE | relaxed

a b c (Å): 5.0318 5.0318 5.0318
angles (deg): 90.00 90.00 90.00
Element x y z (fractional)
Mg 0.0000 0.0000 0.0000
Zn 0.0000 0.5000 0.5000
Zn 0.5000 0.0000 0.5000
Zn 0.5000 0.5000 0.0000
Se 0.5000 0.5000 0.5000

Properties
* volume: 25.48 Å³/atom
* raw formation energy: 0.414 eV per atom
* energy: -1.366 eV per atom
* density of states at the Fermi level: 3.1 states/eV/cell
* polymorph energy (0 for the lowest one): 0.467 eV/atom